ZrBe2Zn | GGA-PBE | relaxed

Structure (extended XYZ):
```
4
Lattice="3.712 0.000 0.000 0.000 2.954 -0.001 0.000 1.476 5.008" Properties=species:S:1:pos:R:3 pbc="T T T"
Be 0.000 0.552 0.171
Be 1.856 0.556 1.291
Zn 0.000 2.030 2.050
Zr 1.856 3.506 3.999
```

Calculated values
E = -4.327 eV per atom